(1)
A relaxed POsBr2 crystal. Source: the Alexandria database, functional PBE.

Cell lengths 9.1795, 9.1795, 9.1795 Å; angles 22.51, 22.51, 22.51 degrees
Sites, in units of the cell vectors:
P (0.0000, 0.0000, 0.0000)
Os (0.3006, 0.3006, 0.3006)
Br (0.5664, 0.5664, 0.5664)
Br (0.7719, 0.7719, 0.7719)

Calculated values
energy relative to the elements, uncorrected	0.178	eV per atom
space group	R3m
distance to the lowest polymorph of the same formula	241	meV per atom

***

(2)
A relaxed SrLi2Cl crystal. Source: the Alexandria database, functional PBE.

Cell lengths 7.2999, 7.2999, 7.2999 Å; angles 116.87, 116.87, 95.51 degrees
Sites, in units of the cell vectors:
Sr (0.0000, 0.0000, 0.0000)
Sr (0.7500, 0.2500, 0.5000)
Li (0.2915, 0.6250, 0.1665)
Li (0.3750, 0.5415, 0.6665)
Li (0.4585, 0.1250, 0.8335)
Li (0.8750, 0.7085, 0.3335)
Cl (0.2500, 0.7500, 0.5000)
Cl (0.5000, 0.5000, 0.0000)

Calculated values
energy relative to the elements, uncorrected	-0.586	eV per atom
space group	I-42d
distance to the lowest polymorph of the same formula	145	meV per atom

***

(3)
A relaxed LaBPC2 crystal. Source: the Alexandria database, functional PBE.

Cell lengths 4.4198, 4.4198, 4.9131 Å; angles 90.00, 90.00, 90.00 degrees
Sites, in units of the cell vectors:
La (0.0000, 0.0000, 0.0000)
B (0.0000, 0.0000, 0.5000)
P (0.5000, 0.5000, 0.5000)
C (0.0000, 0.5000, 0.0000)
C (0.5000, 0.0000, 0.0000)

Calculated values
ΔE_f	2986	meV/atom
space group	P4/mmm

***

(4)
A relaxed YAsPS2 crystal. Source: the Alexandria database, functional PBE.

Cell lengths 5.1171, 5.1171, 5.4235 Å; angles 90.00, 90.00, 90.00 degrees
Sites, in units of the cell vectors:
Y (0.0000, 0.0000, 0.0000)
As (0.5000, 0.5000, 0.5000)
P (0.0000, 0.0000, 0.5000)
S (0.0000, 0.5000, 0.0000)
S (0.5000, 0.0000, 0.0000)

Calculated values
energy relative to the elements, uncorrected	0.382	eV per atom
space group	P4/mmm
distance to the lowest polymorph of the same formula	651	meV per atom

***

(5)
A relaxed La2Ge3AsRh4 crystal. Source: the Alexandria database, functional PBE.

Cell lengths 4.3237, 4.3237, 10.1382 Å; angles 90.00, 90.00, 90.00 degrees
Sites, in units of the cell vectors:
La (0.0000, 0.5000, 0.2417)
La (0.5000, 0.0000, 0.7583)
Ge (0.0000, 0.0000, 0.0000)
Ge (0.0000, 0.5000, 0.6281)
Ge (0.5000, 0.0000, 0.3719)
As (0.5000, 0.5000, 0.0000)
Rh (0.0000, 0.0000, 0.5000)
Rh (0.0000, 0.5000, 0.8747)
Rh (0.5000, 0.0000, 0.1253)
Rh (0.5000, 0.5000, 0.5000)

Calculated values
ΔE_f	-924	meV/atom
space group	P-4m2

***

(6)
A relaxed NaIr3Ru crystal. Source: the Alexandria database, functional PBE.

Cell lengths 4.7484, 4.7484, 4.7484 Å; angles 90.00, 90.00, 90.00 degrees
Sites, in units of the cell vectors:
Na (0.0000, 0.0000, 0.0000)
Ir (0.0000, 0.5000, 0.5000)
Ir (0.5000, 0.0000, 0.5000)
Ir (0.5000, 0.5000, 0.0000)
Ru (0.5000, 0.5000, 0.5000)

Calculated values
ΔE_f	1460	meV/atom
space group	Pm-3m
distance to the lowest polymorph of the same formula	0	meV per atom